Entry 1:
# CuHg2

Crystalline CuHg2 at its relaxed geometry (PBE, Alexandria).

a = 12.397 Å, b = 3.124 Å, c = 3.125 Å
α = 90.00°, β = 90.06°, γ = 90.00°
Space group C2/m (No. 12)
Asymmetric unit:
Cu: 0.000 0.000 0.000
Hg: 0.143 0.500 0.502

DFT formation energy	0.18	eV/atom
density of states at the Fermi level	0.9	states/eV/f.u.
calculated density	12.75	g/cm³



Entry 2:
# CuHg

Crystalline CuHg at its relaxed geometry (PBE, Alexandria).

a = 3.2212 Å, b = 3.2212 Å, c = 12.0617 Å
α = 90.00°, β = 90.00°, γ = 120.00°
Space group R-3m (No. 166, hexagonal axes)
Asymmetric unit:
Cu: 0.0000 0.0000 0.0000
Hg: 0.0000 0.0000 0.5000

DFT formation energy	0.27	eV/atom
density of states at the Fermi level	0.6	states/eV/f.u.
calculated density	12.14	g/cm³